DFT (GGA-PBE) results for Sm2Sc2CIBr4 after structural relaxation.

Lattice parameters (Å, degrees): 17.6628 3.7988 8.1607 90.00 104.28 90.00
Space group C2/m (No. 12)
One atom of each set of equivalent atoms:
Sm 0.1418 0.0000 0.0763 (multiplicity 4)
Sc 0.0004 0.5000 0.1831 (multiplicity 4)
C 0.0000 0.0000 0.0000 (multiplicity 2)
I 0.0000 0.0000 0.5000 (multiplicity 2)
Br 0.1590 0.5000 0.3499 (multiplicity 4)
Br 0.1641 0.5000 0.8183 (multiplicity 4)

Computed properties:
For the energy above the most stable polymorph in this dataset, the calculation gives 33 meV/atom. Its calculated density is 5.3 Mg/m³. The total moment is 0.267 μB/f.u.

DFT (GGA-PBE) results for YIrF3 after structural relaxation.

Lattice parameters (Å, degrees): 4.0793 13.4935 4.5716 90.00 90.00 90.00
Space group Cmcm (No. 63)
One atom of each set of equivalent atoms:
Y 0.0000 0.1617 0.2500 (multiplicity 4)
Ir 0.0000 0.4707 0.2500 (multiplicity 4)
F 0.0000 0.1212 0.7500 (multiplicity 4)
F 0.0000 0.3041 0.5061 (multiplicity 8)

Computed properties:
Its calculated density is 8.9 Mg/m³. The calculation puts the energy at -6.471 eV/atom. The total moment is 0.414 μB/f.u.

DFT (GGA-PBE) results for LuTlCdTe3 after structural relaxation.

Lattice parameters (Å, degrees): 15.3541 4.4284 11.8563 90.00 90.00 90.00
Space group Pnma (No. 62)
One atom of each set of equivalent atoms:
Lu 0.0250 0.2500 0.1530 (multiplicity 4)
Tl 0.2352 0.2500 0.4484 (multiplicity 4)
Cd 0.0214 0.7500 0.3993 (multiplicity 4)
Te 0.0973 0.7500 0.6287 (multiplicity 4)
Te 0.0997 0.2500 0.9209 (multiplicity 4)
Te 0.1509 0.7500 0.2302 (multiplicity 4)

Computed properties:
For the energy above the most stable polymorph in this dataset, the calculation gives 0 meV/atom. Its calculated density is 7.2 Mg/m³. The total moment is 0.006 μB/f.u.

DFT (GGA-PBE) results for HoEr2In3Pd2Au after structural relaxation.

Lattice parameters (Å, degrees): 3.7778 13.5140 7.8045 90.00 90.00 90.00
Space group Amm2 (No. 38)
One atom of each set of equivalent atoms:
Ho 0.0000 0.0000 0.0000 (multiplicity 2)
Er 0.0000 0.2020 0.6062 (multiplicity 4)
In 0.5000 0.0000 0.6762 (multiplicity 2)
In 0.5000 0.1361 0.2682 (multiplicity 4)
Pd 0.5000 0.1672 0.9039 (multiplicity 4)
Au 0.0000 0.0000 0.4045 (multiplicity 2)

Computed properties:
Its calculated density is 10.4 Mg/m³. The calculation puts the energy at -4.725 eV/atom. The total moment is 0.011 μB/f.u.

DFT (GGA-PBE) results for PrThTe after structural relaxation.

Lattice parameters (Å, degrees): 7.4432 7.4432 7.4432 90.00 90.00 90.00
Space group F-43m (No. 216)
One atom of each set of equivalent atoms:
Pr 0.0000 0.0000 0.0000 (multiplicity 4)
Th 0.0000 0.0000 0.5000 (multiplicity 4)
Te 0.2500 0.2500 0.2500 (multiplicity 4)

Computed properties:
Its calculated density is 8.1 Mg/m³. The calculation puts the energy at -5.518 eV/atom. The total moment is 0.049 μB/f.u.

DFT (GGA-PBE) results for ErScGa2Pd4 after structural relaxation.

Lattice parameters (Å, degrees): 4.3533 4.3533 8.8072 90.00 90.00 120.00
Space group P-6m2 (No. 187)
One atom of each set of equivalent atoms:
Er 0.0000 0.0000 0.0000 (multiplicity 1)
Sc 0.6667 0.3333 0.5000 (multiplicity 1)
Ga 0.3333 0.6667 0.2580 (multiplicity 2)
Pd 0.0000 0.0000 0.3393 (multiplicity 2)
Pd 0.6667 0.3333 0.1714 (multiplicity 2)

Computed properties:
For the energy above the most stable polymorph in this dataset, the calculation gives 0 meV/atom. Its calculated density is 8.9 Mg/m³. The total moment is 0.010 μB/f.u.

DFT (GGA-PBE) results for LiZnCoPd after structural relaxation.

Lattice parameters (Å, degrees): 5.8923 5.8923 5.8923 90.00 90.00 90.00
Space group F-43m (No. 216)
One atom of each set of equivalent atoms:
Li 0.0000 0.0000 0.0000 (multiplicity 4)
Zn 0.0000 0.0000 0.5000 (multiplicity 4)
Co 0.2500 0.2500 0.7500 (multiplicity 4)
Pd 0.2500 0.2500 0.2500 (multiplicity 4)

Computed properties:
For the energy above the most stable polymorph in this dataset, the calculation gives 0 meV/atom. Its calculated density is 7.7 Mg/m³. The total moment is 1.051 μB/f.u.

DFT (GGA-PBE) results for HfSnNO after structural relaxation.

Lattice parameters (Å, degrees): 6.3843 9.6242 5.7022 90.00 90.00 90.00
Space group Pca2_1 (No. 29)
One atom of each set of equivalent atoms:
Hf 0.0930 0.0858 0.0000 (multiplicity 4)
Sn 0.1142 0.4873 0.0571 (multiplicity 4)
N 0.1344 0.0316 0.6571 (multiplicity 4)
O 0.0528 0.2828 0.0560 (multiplicity 4)

Computed properties:
For the energy above the most stable polymorph in this dataset, the calculation gives 0 meV/atom. Its calculated density is 6.2 Mg/m³. The total moment is 0.001 μB/f.u.

DFT (GGA-PBE) results for RbHoTeO after structural relaxation.

Lattice parameters (Å, degrees): 4.2954 4.2954 10.8030 90.00 90.00 90.00
Space group P4/nmm (No. 129, origin choice 2)
One atom of each set of equivalent atoms:
Rb 0.2500 0.7500 0.0000 (multiplicity 2)
Ho 0.2500 0.2500 0.4193 (multiplicity 2)
Te 0.2500 0.2500 0.7546 (multiplicity 2)
O 0.2500 0.7500 0.5000 (multiplicity 2)

Computed properties:
For the energy above the most stable polymorph in this dataset, the calculation gives 327 meV/atom. Its calculated density is 6.6 Mg/m³. The total moment is 0.001 μB/f.u.

DFT (GGA-PBE) results for CsCdNO after structural relaxation.

Lattice parameters (Å, degrees): 4.3952 4.3952 10.6203 90.00 90.00 90.00
Space group P4/nmm (No. 129, origin choice 2)
One atom of each set of equivalent atoms:
Cs 0.2500 0.2500 0.1667 (multiplicity 2)
Cd 0.2500 0.7500 0.5000 (multiplicity 2)
N 0.2500 0.2500 0.5206 (multiplicity 2)
O 0.2500 0.7500 0.0000 (multiplicity 2)

Computed properties:
For the energy above the most stable polymorph in this dataset, the calculation gives 615 meV/atom. Its calculated density is 4.5 Mg/m³.

DFT (GGA-PBE) results for LiYTlAu after structural relaxation.

Lattice parameters (Å, degrees): 7.0549 7.0549 7.0549 90.00 90.00 90.00
Space group F-43m (No. 216)
One atom of each set of equivalent atoms:
Li 0.0000 0.0000 0.0000 (multiplicity 4)
Y 0.0000 0.0000 0.5000 (multiplicity 4)
Tl 0.2500 0.2500 0.2500 (multiplicity 4)
Au 0.2500 0.2500 0.7500 (multiplicity 4)

Computed properties:
For the energy above the most stable polymorph in this dataset, the calculation gives 14 meV/atom. Its calculated density is 9.4 Mg/m³. The total moment is 0.000 μB/f.u.

DFT (GGA-PBE) results for SmAs2O after structural relaxation.

Lattice parameters (Å, degrees): 4.3505 6.2324 6.3964 90.00 90.00 90.00
Space group Pmc2_1 (No. 26)
One atom of each set of equivalent atoms:
Sm 0.0000 0.2390 0.0000 (multiplicity 2)
As 0.0000 0.2779 0.4679 (multiplicity 2)
As 0.5000 0.1361 0.6136 (multiplicity 2)
O 0.5000 0.2763 0.8726 (multiplicity 2)

Computed properties:
For the energy above the most stable polymorph in this dataset, the calculation gives 117 meV/atom. Its calculated density is 6.1 Mg/m³. The total moment is 0.002 μB/f.u.